4
Lattice="4.445 0.000 0.000 0.000 2.274 5.861 0.000 -2.274 5.861" Properties=species:S:1:pos:R:3 comment="SmErPb2 | OQMD via LeMat-Bulk | PBE | relaxed" e_tot_ev_per_atom=-4.66 sg="No. 38" pbc="T T T"
Sm 0.000 0.000 0.000
Er 2.223 0.000 8.666
Pb 0.000 0.000 3.162
Pb 2.223 0.000 5.501

---

3
Lattice="0.000 3.814 3.814 3.814 0.000 3.814 3.814 3.814 0.000" Properties=species:S:1:pos:R:3 comment="SrErPb | OQMD via LeMat-Bulk | PBE | relaxed" e_tot_ev_per_atom=-3.53 sg="No. 216" pbc="T T T"
Sr 0.000 0.000 0.000
Er 3.814 3.814 3.814
Pb 5.721 5.721 5.721

---

12
Lattice="4.431 -6.669 0.000 4.431 6.669 0.000 -2.341 0.000 5.677" Properties=species:S:1:pos:R:3 comment="Er4TcPb | OQMD via LeMat-Bulk | PBE | relaxed" e_tot_ev_per_atom=-5.69 sg="No. 15" pbc="T T T"
Er 1.261 4.448 5.335
Er 0.914 0.951 3.680
Er 4.088 4.448 3.180
Er 2.084 -0.951 0.842
Er 4.436 0.951 4.835
Er 2.432 -4.448 2.496
Er 5.607 -0.951 1.997
Er 5.259 -4.448 0.342
Tc 3.845 6.665 1.419
Tc 2.675 -6.665 4.258
Pb 3.845 1.726 1.419
Pb 2.675 -1.726 4.258

---

> What is the formula in the second record?

SrErPb